[1]
# LaMg3 (PBE, optimized geometry)
data_LaMg3
_space_group_name_H-M_alt 'P m -3 n'
_space_group_IT_number 223
_space_group_name_Hall '-P 4n 2 3'
_cell_length_a 6.083
_cell_length_b 6.083
_cell_length_c 6.083
_cell_angle_alpha 90.00
_cell_angle_beta 90.00
_cell_angle_gamma 90.00
loop_
_atom_site_label
_atom_site_type_symbol
_atom_site_fract_x
_atom_site_fract_y
_atom_site_fract_z
_atom_site_occupancy
La1 La 0.000 0.000 0.000 1
Mg1 Mg 0.000 0.250 0.500 1
# VASP energy, eV/atom: -2.366
# Formation energy, eV per atom: 0.062
# Size of the total moment, μB per atom: 0.000


[2]
# LaMg (PBE, optimized geometry)
data_LaMg
_space_group_name_H-M_alt 'F m -3 m'
_space_group_IT_number 225
_space_group_name_Hall '-F 4 2 3'
_cell_length_a 6.624
_cell_length_b 6.624
_cell_length_c 6.624
_cell_angle_alpha 90.00
_cell_angle_beta 90.00
_cell_angle_gamma 90.00
loop_
_atom_site_label
_atom_site_type_symbol
_atom_site_fract_x
_atom_site_fract_y
_atom_site_fract_z
_atom_site_occupancy
La1 La 0.000 0.000 0.000 1
Mg1 Mg 0.000 0.000 0.500 1
# VASP energy, eV/atom: -2.901
# Formation energy, eV per atom: 0.360
# Polymorph energy (0 for the lowest one), meV/atom: 473
# Size of the total moment, μB per atom: 0.051


[3]
# LaMg3 (PBE, optimized geometry)
data_LaMg3
_space_group_name_H-M_alt 'C 1 2/m 1'
_space_group_IT_number 12
_cell_length_a 10.686
_cell_length_b 3.324
_cell_length_c 6.262
_cell_angle_alpha 90.00
_cell_angle_beta 100.07
_cell_angle_gamma 90.00
loop_
_space_group_symop_operation_xyz
'x,y,z'
'-x,-y,-z'
'-x,y,-z'
'x,-y,z'
'x+1/2,y+1/2,z'
'-x+1/2,-y+1/2,-z'
'-x+1/2,y+1/2,-z'
'x+1/2,-y+1/2,z'
loop_
_atom_site_label
_atom_site_type_symbol
_atom_site_fract_x
_atom_site_fract_y
_atom_site_fract_z
_atom_site_occupancy
La1 La 0.000 0.000 0.000 1
Mg1 Mg 0.000 0.500 0.500 1
Mg2 Mg 0.240 0.000 0.717 1
# VASP energy, eV/atom: -2.432
# Formation energy, eV per atom: -0.004
# Size of the total moment, μB per atom: 0.022


[4]
# LaMg (PBE, optimized geometry)
data_LaMg
_space_group_name_H-M_alt 'I 4/m'
_space_group_IT_number 87
_space_group_name_Hall '-I 4'
_cell_length_a 12.100
_cell_length_b 12.100
_cell_length_c 3.275
_cell_angle_alpha 90.00
_cell_angle_beta 90.00
_cell_angle_gamma 90.00
loop_
_atom_site_label
_atom_site_type_symbol
_atom_site_fract_x
_atom_site_fract_y
_atom_site_fract_z
_atom_site_occupancy
La1 La 0.105 0.155 0.000 1
Mg1 Mg 0.088 0.627 0.000 1
# VASP energy, eV/atom: -3.083
# Formation energy, eV per atom: 0.178
# Polymorph energy (0 for the lowest one), meV/atom: 291
# Size of the total moment, μB per atom: 0.000


[5]
# LaMg3 (PBE, optimized geometry)
data_LaMg3
_space_group_name_H-M_alt 'P m -3 m'
_space_group_IT_number 221
_space_group_name_Hall '-P 4 2 3'
_cell_length_a 4.824
_cell_length_b 4.824
_cell_length_c 4.824
_cell_angle_alpha 90.00
_cell_angle_beta 90.00
_cell_angle_gamma 90.00
loop_
_atom_site_label
_atom_site_type_symbol
_atom_site_fract_x
_atom_site_fract_y
_atom_site_fract_z
_atom_site_occupancy
La1 La 0.000 0.000 0.000 1
Mg1 Mg 0.000 0.500 0.500 1
# VASP energy, eV/atom: -2.480
# Formation energy, eV per atom: -0.052
# Size of the total moment, μB per atom: 0.000


[6]
# LaMg3 (PBE, optimized geometry)
data_LaMg3
_space_group_name_H-M_alt 'P m -3 m'
_space_group_IT_number 221
_space_group_name_Hall '-P 4 2 3'
_cell_length_a 6.620
_cell_length_b 6.620
_cell_length_c 6.620
_cell_angle_alpha 90.00
_cell_angle_beta 90.00
_cell_angle_gamma 90.00
loop_
_atom_site_label
_atom_site_type_symbol
_atom_site_fract_x
_atom_site_fract_y
_atom_site_fract_z
_atom_site_occupancy
La1 La 0.000 0.000 0.000 1
Mg1 Mg 0.000 0.000 0.500 1
# VASP energy, eV/atom: -1.190
# Formation energy, eV per atom: 1.238
# Size of the total moment, μB per atom: 0.022


[7]
# LaMg (PBE, optimized geometry)
data_LaMg
_space_group_name_H-M_alt 'P 63/m m c'
_space_group_IT_number 194
_space_group_name_Hall '-P 6c 2c'
_cell_length_a 4.9385
_cell_length_b 4.9385
_cell_length_c 6.9437
_cell_angle_alpha 90.00
_cell_angle_beta 90.00
_cell_angle_gamma 120.00
loop_
_atom_site_label
_atom_site_type_symbol
_atom_site_fract_x
_atom_site_fract_y
_atom_site_fract_z
_atom_site_occupancy
La1 La 0.0000 0.0000 0.0000 1
Mg1 Mg 0.3333 0.6667 0.2500 1
# VASP energy, eV/atom: -2.865
# Formation energy, eV per atom: 0.396
# Polymorph energy (0 for the lowest one), meV/atom: 508
# Size of the total moment, μB per atom: 0.000


[8]
# La8Mg (PBE, optimized geometry)
data_La8Mg
_space_group_name_H-M_alt 'I 4/m m m'
_space_group_IT_number 139
_space_group_name_Hall '-I 4 2'
_cell_length_a 11.052
_cell_length_b 11.052
_cell_length_c 5.217
_cell_angle_alpha 90.00
_cell_angle_beta 90.00
_cell_angle_gamma 90.00
loop_
_atom_site_label
_atom_site_type_symbol
_atom_site_fract_x
_atom_site_fract_y
_atom_site_fract_z
_atom_site_occupancy
La1 La 0.000 0.328 0.000 1
La2 La 0.168 0.168 0.500 1
Mg1 Mg 0.000 0.000 0.000 1
# VASP energy, eV/atom: -4.555
# Formation energy, eV per atom: 0.002
# Polymorph energy (0 for the lowest one), meV/atom: 0
# Size of the total moment, μB per atom: 0.000